No. 1
Entry from the Alexandria database: an optimized crystal structure of KTl2SnW (GGA-PBE).

POSCAR file:
```
KTl2SnW
1.0
-3.8116 -3.8971 0.5669
3.8435 -3.5094 1.7171
-0.8288 1.5377 4.9981
K Tl Sn W
1 2 1 1
Direct
0.5000 0.5000 0.5000
0.0000 0.5000 0.0000
0.5000 0.0000 0.0000
0.0000 0.0000 0.5000
0.0000 0.0000 0.0000
```

Results
space-group type: P4/mmm, No. 123
formation energy from the elements: 0.299 eV/atom

No. 2
Entry from the Alexandria database: an optimized crystal structure of KTl2ZnSn (GGA-PBE).

POSCAR file:
```
KTl2ZnSn
1.0
-1.3032 -2.5412 4.9134
-1.9293 -4.5221 -2.8505
4.7419 -2.1236 0.1594
K Zn Tl Sn
1 1 2 1
Direct
0.5000 0.5000 0.5000
0.0000 0.0000 0.0000
0.0000 0.5000 0.0000
0.5000 0.0000 0.0000
0.0000 0.0000 0.5000
```

Results
space-group type: P4/mmm, No. 123
formation energy from the elements: 0.091 eV/atom

No. 3
Entry from the Alexandria database: an optimized crystal structure of K2TlZn3Sn4 (GGA-PBE).

POSCAR file:
```
K2TlZn3Sn4
1.0
-0.9165 -2.4707 4.0121
-2.2425 -3.3660 -2.5851
10.3726 -5.9270 -1.2804
K Tl Zn Sn
2 1 3 4
Direct
0.5000 0.0000 0.2474
0.0000 0.5000 0.7526
0.5000 0.5000 0.5000
0.0000 0.0000 0.5000
0.5000 0.0000 0.8680
0.0000 0.5000 0.1320
0.5000 0.5000 0.0000
0.0000 0.0000 0.0000
0.5000 0.0000 0.6433
0.0000 0.5000 0.3567
```

Results
space-group type: P-4m2, No. 115
formation energy from the elements: -0.098 eV/atom

No. 4
Entry from the Alexandria database: an optimized crystal structure of KTmSn2 (GGA-PBE).

POSCAR file:
```
KTmSn2
1.0
-2.5280 0.9339 -2.9941
2.6683 -1.3806 -2.6836
-3.2328 -7.1930 0.4860
K Tm Sn
1 1 2
Direct
0.5000 0.5000 0.5000
0.5000 0.5000 0.0000
0.0000 0.0000 0.8133
0.0000 0.0000 0.1867
```

Results
space-group type: P4/mmm, No. 123
formation energy from the elements: -0.395 eV/atom
relative energy among the computed polymorphs: 0 meV/atom

No. 5
Entry from the Alexandria database: an optimized crystal structure of KTmSn2 (GGA-PBE).

POSCAR file:
```
KTmSn2
1.0
-3.4443 -0.1136 1.3076
-1.1352 -2.9134 1.9517
1.7063 3.7106 10.0121
K Tm Sn
1 1 2
Direct
0.5000 0.5000 0.5000
0.0000 0.0000 0.0000
0.7424 0.7424 0.7729
0.2576 0.2576 0.2271
```

Results
space-group type: R-3m, No. 166
formation energy from the elements: -0.241 eV/atom
relative energy among the computed polymorphs: 154 meV/atom

No. 6
Entry from the Alexandria database: an optimized crystal structure of KUSn2 (GGA-PBE).

POSCAR file:
```
KUSn2
1.0
-0.6155 2.7965 1.6316
0.8483 -1.4635 2.8284
9.8366 2.9851 -1.4055
K U Sn
1 1 2
Direct
0.5000 0.5000 0.5000
0.5000 0.5000 0.0000
0.0000 0.0000 0.7706
0.0000 0.0000 0.2294
```

Results
space-group type: P4/mmm, No. 123
formation energy from the elements: -0.043 eV/atom

No. 7
Entry from the Alexandria database: an optimized crystal structure of KVSn2 (GGA-PBE).

POSCAR file:
```
KVSn2
1.0
-2.8858 0.7233 1.4215
-2.8089 -0.3817 -1.6841
-2.6879 -10.2338 3.5745
K Sn V
1 2 1
Direct
0.0000 0.0000 0.0000
0.1016 0.1016 0.6952
0.8984 0.8984 0.3048
0.5000 0.5000 0.5000
```

Results
space-group type: R-3m, No. 166
formation energy from the elements: 0.339 eV/atom
relative energy among the computed polymorphs: 0 meV/atom

No. 8
Entry from the Alexandria database: an optimized crystal structure of KVSn2 (GGA-PBE).

POSCAR file:
```
KVSn2
1.0
-5.0958 -3.0461 -1.2253
1.6700 -4.3525 3.8748
-5.7625 0.4835 7.7685
K Sn V
2 4 2
Direct
0.5000 0.5000 0.0000
0.2500 0.7500 0.5000
0.8740 0.1250 0.2500
0.8760 0.6250 0.2500
0.3750 0.1260 0.7500
0.8750 0.1240 0.7500
0.0000 0.0000 0.0000
0.7500 0.2500 0.5000
```

Results
space-group type: I-42d, No. 122
formation energy from the elements: 0.376 eV/atom
relative energy among the computed polymorphs: 37 meV/atom

No. 9
Entry from the Alexandria database: an optimized crystal structure of K2VSn (GGA-PBE).

POSCAR file:
```
K2VSn
1.0
-5.6786 10.0442 5.6468
1.8031 -5.4432 11.4952
0.3823 3.4980 8.7741
K Sn V
4 2 2
Direct
0.4398 0.1250 0.2500
0.3102 0.6250 0.2500
0.3750 0.5602 0.7500
0.8750 0.6898 0.7500
0.0000 0.0000 0.0000
0.7500 0.2500 0.5000
0.5000 0.5000 0.0000
0.2500 0.7500 0.5000
```

Results
space-group type: I-42d, No. 122
formation energy from the elements: 0.615 eV/atom

No. 10
Entry from the Alexandria database: an optimized crystal structure of KV3Sn (GGA-PBE).

POSCAR file:
```
KV3Sn
1.0
-2.1651 -1.0390 -3.6756
-3.1381 -1.9249 2.3926
-2.1777 3.8069 0.2067
K Sn V
1 1 3
Direct
0.0000 0.0000 0.0000
0.5000 0.5000 0.5000
0.0000 0.5000 0.0000
0.0000 0.0000 0.5000
0.5000 0.0000 0.0000
```

Results
space-group type: Pm-3m, No. 221
formation energy from the elements: 2.220 eV/atom

No. 11
Entry from the Alexandria database: an optimized crystal structure of KVSn2 (GGA-PBE).

POSCAR file:
```
KVSn2
1.0
-0.5268 -4.7839 -1.9756
-3.9315 -3.0353 1.5481
-3.9149 -1.0510 -3.2611
K Sn V
1 2 1
Direct
0.0000 0.0000 0.0000
0.2500 0.2500 0.2500
0.7500 0.7500 0.7500
0.5000 0.5000 0.5000
```

Results
space-group type: Fm-3m, No. 225
formation energy from the elements: 0.366 eV/atom
relative energy among the computed polymorphs: 27 meV/atom

No. 12
Entry from the Alexandria database: an optimized crystal structure of KSnW3 (GGA-PBE).

POSCAR file:
```
KSnW3
1.0
5.0707 0.0000 0.0000
0.0000 5.0707 0.0000
0.0000 0.0000 5.0707
K Sn W
1 1 3
Direct
0.5000 0.5000 0.5000
0.0000 0.0000 0.0000
0.0000 0.5000 0.0000
0.0000 0.0000 0.5000
0.5000 0.0000 0.0000
```

Results
space-group type: Pm-3m, No. 221
formation energy from the elements: 2.801 eV/atom
relative energy among the computed polymorphs: 0 meV/atom

No. 13
Entry from the Alexandria database: an optimized crystal structure of KSnW3 (GGA-PBE).

POSCAR file:
```
KSnW3
1.0
-2.4959 0.5449 3.8544
-0.9141 -4.5327 0.0488
3.7839 -0.7356 2.5543
K Sn W
1 1 3
Direct
0.0000 0.0000 0.0000
0.5000 0.5000 0.5000
0.0000 0.5000 0.0000
0.0000 0.0000 0.5000
0.5000 0.0000 0.0000
```

Results
space-group type: Pm-3m, No. 221
formation energy from the elements: 3.524 eV/atom
relative energy among the computed polymorphs: 723 meV/atom

No. 14
Entry from the Alexandria database: an optimized crystal structure of K3SnW (GGA-PBE).

POSCAR file:
```
K3SnW
1.0
6.6982 0.0000 0.0000
0.0000 6.6982 0.0000
0.0000 0.0000 6.6982
K Sn W
3 1 1
Direct
0.0000 0.5000 0.0000
0.0000 0.0000 0.5000
0.5000 0.0000 0.0000
0.0000 0.0000 0.0000
0.5000 0.5000 0.5000
```

Results
space-group type: Pm-3m, No. 221
formation energy from the elements: 1.487 eV/atom
relative energy among the computed polymorphs: 0 meV/atom

No. 15
Entry from the Alexandria database: an optimized crystal structure of KSn2W (GGA-PBE).

POSCAR file:
```
KSn2W
1.0
6.4839 0.0000 0.0000
0.0000 6.4839 0.0000
3.2419 3.2419 8.1834
K Sn W
2 4 2
Direct
0.5000 0.5000 0.0000
0.2500 0.7500 0.5000
0.8718 0.1250 0.2500
0.8782 0.6250 0.2500
0.3750 0.1282 0.7500
0.8750 0.1218 0.7500
0.0000 0.0000 0.0000
0.7500 0.2500 0.5000
```

Results
space-group type: I-42d, No. 122
formation energy from the elements: 0.706 eV/atom
relative energy among the computed polymorphs: 0 meV/atom

No. 16
Entry from the Alexandria database: an optimized crystal structure of KSn3W (GGA-PBE).

POSCAR file:
```
KSn3W
1.0
-2.5272 -4.0311 -2.9691
4.9377 -1.4571 -2.2244
0.8275 -3.6164 4.2058
K Sn W
1 3 1
Direct
0.0000 0.0000 0.0000
0.0000 0.5000 0.0000
0.0000 0.0000 0.5000
0.5000 0.0000 0.0000
0.5000 0.5000 0.5000
```

Results
space-group type: Pm-3m, No. 221
formation energy from the elements: 2.211 eV/atom
relative energy among the computed polymorphs: 2030 meV/atom

No. 17
Entry from the Alexandria database: an optimized crystal structure of KSn2W (GGA-PBE).

POSCAR file:
```
KSn2W
1.0
-2.2525 -4.0154 2.2037
1.1046 -1.2109 4.8340
-3.4750 0.7187 3.6690
K Sn W
1 2 1
Direct
0.0000 0.0000 0.0000
0.2500 0.2500 0.2500
0.7500 0.7500 0.7500
0.5000 0.5000 0.5000
```

Results
space-group type: Fm-3m, No. 225
formation energy from the elements: 0.822 eV/atom
relative energy among the computed polymorphs: 116 meV/atom

No. 18
Entry from the Alexandria database: an optimized crystal structure of KSn3W (GGA-PBE).

POSCAR file:
```
KSn3W
1.0
5.3437 0.0000 0.0000
0.0000 5.3437 0.0000
0.0000 0.0000 5.3437
K Sn W
1 3 1
Direct
0.5000 0.5000 0.5000
0.0000 0.5000 0.0000
0.0000 0.0000 0.5000
0.5000 0.0000 0.0000
0.0000 0.0000 0.0000
```

Results
space-group type: Pm-3m, No. 221
formation energy from the elements: 0.181 eV/atom
relative energy among the computed polymorphs: 0 meV/atom

No. 19
Entry from the Alexandria database: an optimized crystal structure of K2SnW2 (GGA-PBE).

POSCAR file:
```
K2SnW2
1.0
-3.1304 2.2206 -9.6580
6.5998 -7.0884 -3.7690
-1.9797 -1.9464 0.1941
K Sn W
4 2 4
Direct
0.2071 0.7071 0.5000
0.7071 0.7929 0.5000
0.7929 0.2929 0.5000
0.2929 0.2071 0.5000
0.0000 0.0000 0.0000
0.5000 0.5000 0.0000
0.4214 0.9214 0.0000
0.9214 0.5786 0.0000
0.5786 0.0786 0.0000
0.0786 0.4214 0.0000
```

Results
space-group type: P4/mbm, No. 127
formation energy from the elements: 1.409 eV/atom
relative energy among the computed polymorphs: 0 meV/atom

No. 20
Entry from the Alexandria database: an optimized crystal structure of K2SnW2 (GGA-PBE).

POSCAR file:
```
K2SnW2
1.0
-4.0704 -1.0349 -0.8148
0.8363 -4.0752 0.9983
-3.4596 -1.1237 7.4781
K Sn W
2 1 2
Direct
0.7500 0.2500 0.5000
0.2500 0.7500 0.5000
0.0000 0.0000 0.0000
0.4307 0.4307 0.1386
0.5693 0.5693 0.8614
```

Results
space-group type: I4/mmm, No. 139
formation energy from the elements: 1.614 eV/atom
relative energy among the computed polymorphs: 205 meV/atom

No. 21
Entry from the Alexandria database: an optimized crystal structure of K2SnW (GGA-PBE).

POSCAR file:
```
K2SnW
1.0
13.0668 0.0000 0.0000
0.0000 13.0668 0.0000
6.5334 6.5334 2.6587
K Sn W
4 2 2
Direct
0.8179 0.1250 0.2500
0.9321 0.6250 0.2500
0.3750 0.1821 0.7500
0.8750 0.0679 0.7500
0.5000 0.5000 0.0000
0.2500 0.7500 0.5000
0.0000 0.0000 0.0000
0.7500 0.2500 0.5000
```

Results
space-group type: I-42d, No. 122
formation energy from the elements: 1.163 eV/atom

No. 22
Entry from the Alexandria database: an optimized crystal structure of K2YSn2 (GGA-PBE).

POSCAR file:
```
K2YSn2
1.0
8.0611 0.0000 0.0000
0.0000 8.0611 0.0000
0.0000 0.0000 5.8432
Y K Sn
2 4 4
Direct
0.0000 0.0000 0.0000
0.5000 0.5000 0.0000
0.1692 0.6692 0.5000
0.6692 0.8308 0.5000
0.8308 0.3308 0.5000
0.3308 0.1692 0.5000
0.3730 0.8730 0.0000
0.8730 0.6270 0.0000
0.6270 0.1270 0.0000
0.1270 0.3730 0.0000
```

Results
space-group type: P4/mbm, No. 127
formation energy from the elements: -0.103 eV/atom

No. 23
Entry from the Alexandria database: an optimized crystal structure of KYSn2 (GGA-PBE).

POSCAR file:
```
KYSn2
1.0
4.0833 0.0000 0.0000
0.0000 4.0833 0.0000
0.0000 0.0000 7.8847
Y K Sn
1 1 2
Direct
0.5000 0.5000 0.0000
0.5000 0.5000 0.5000
0.0000 0.0000 0.8134
0.0000 0.0000 0.1866
```

Results
space-group type: P4/mmm, No. 123
formation energy from the elements: -0.436 eV/atom
relative energy among the computed polymorphs: 0 meV/atom

No. 24
Entry from the Alexandria database: an optimized crystal structure of KYSn2 (GGA-PBE).

POSCAR file:
```
KYSn2
1.0
0.0000 3.9100 3.9100
3.9100 0.0000 3.9100
3.9100 3.9100 0.0000
Y K Sn
1 1 2
Direct
0.5000 0.5000 0.5000
0.0000 0.0000 0.0000
0.2500 0.2500 0.2500
0.7500 0.7500 0.7500
```

Results
space-group type: Fm-3m, No. 225
formation energy from the elements: -0.212 eV/atom
relative energy among the computed polymorphs: 223 meV/atom

No. 25
Entry from the Alexandria database: an optimized crystal structure of K2Y4Sn (GGA-PBE).

POSCAR file:
```
K2Y4Sn
1.0
5.8295 0.0000 0.0000
0.0000 5.8295 0.0000
2.9147 2.9147 9.4928
Y K Sn
4 2 1
Direct
0.8459 0.8459 0.3082
0.1541 0.1541 0.6918
0.0000 0.5000 0.0000
0.5000 0.0000 0.0000
0.6461 0.6461 0.7078
0.3539 0.3539 0.2922
0.0000 0.0000 0.0000
```

Results
space-group type: I4/mmm, No. 139
formation energy from the elements: 0.545 eV/atom

No. 26
Entry from the Alexandria database: an optimized crystal structure of KY2Sn2 (GGA-PBE).

POSCAR file:
```
KY2Sn2
1.0
5.2770 0.0000 0.0000
0.0000 5.2770 0.0000
2.6385 2.6385 6.4980
Y K Sn
2 1 2
Direct
0.7500 0.2500 0.5000
0.2500 0.7500 0.5000
0.0000 0.0000 0.0000
0.3822 0.3822 0.2356
0.6178 0.6178 0.7644
```

Results
space-group type: I4/mmm, No. 139
formation energy from the elements: -0.279 eV/atom
relative energy among the computed polymorphs: 205 meV/atom

No. 27
Entry from the Alexandria database: an optimized crystal structure of KYSn2 (GGA-PBE).

POSCAR file:
```
KYSn2
1.0
5.5775 0.0000 0.0000
0.0000 5.5775 0.0000
2.7888 2.7888 10.4026
Y K Sn
2 2 4
Direct
0.0000 0.0000 0.0000
0.7500 0.2500 0.5000
0.5000 0.5000 0.0000
0.2500 0.7500 0.5000
0.7354 0.1250 0.2500
0.0146 0.6250 0.2500
0.3750 0.2646 0.7500
0.8750 0.9854 0.7500
```

Results
space-group type: I-42d, No. 122
formation energy from the elements: 0.016 eV/atom
relative energy among the computed polymorphs: 452 meV/atom

Listing DOS at the Fermi energy for the structures above in their given order: 2.77; 3.00; 3.91; 1.74; 1.81; 6.14; 3.82; 9.07; 14.53; 6.35; 3.38; 8.91; 7.98; 2.68; 3.59; 4.64; 3.59; 3.41; 8.57; 4.24; 5.84; 8.51; 1.65; 2.50; 11.96; 6.43; 0.00 states/eV/cell.